## Pr8DyTm2 (PBE)

Data for a geometry-optimized Pr8DyTm2 structure.

Results
* calculated formation energy: 0.110 eV/atom
* total energy: -4.598 eV/atom
* M_tot: 0.00 Bohr magnetons per cell
* calculated volume: 387 Å³/f.u.
* energy above the most stable polymorph in this dataset: 0.0 meV/atom

Cell lengths 5.7332, 8.3295, 9.5486 Å; angles 115.86, 107.47, 90.00 degrees
Element x y z (fractional)
Pr 0.6367 0.8405 0.2734
Pr 0.3633 0.5671 0.7266
Pr 0.1633 0.1633 0.3265
Pr 0.0000 0.2935 0.0000
Pr 0.8367 0.8367 0.6735
Pr 0.6367 0.4329 0.2734
Pr 0.3633 0.1595 0.7266
Pr 0.0000 0.7065 0.0000
Dy 0.5000 0.0000 0.0000
Tm 0.2007 0.7007 0.4014
Tm 0.7993 0.2993 0.5986

***

## Pr6Dy3Tm2 (PBE)

Data for a geometry-optimized Pr6Dy3Tm2 structure.

Results
* calculated formation energy: 0.082 eV/atom
* total energy: -4.593 eV/atom
* M_tot: 0.00 Bohr magnetons per cell
* calculated volume: 375 Å³/f.u.
* energy above the most stable polymorph in this dataset: 0.0 meV/atom

Cell lengths 6.9016, 6.1553, 12.0603 Å; angles 104.48, 55.05, 116.83 degrees
Element x y z (fractional)
Pr 0.9231 0.5051 0.1824
Pr 0.3737 0.8920 0.2726
Pr 0.0769 0.4949 0.8176
Pr 0.6263 0.1080 0.7274
Pr 0.2732 0.4355 0.4523
Pr 0.7268 0.5645 0.5477
Dy 0.0000 0.0000 0.0000
Dy 0.1861 0.9761 0.6326
Dy 0.8139 0.0239 0.3674
Tm 0.5542 0.6906 0.9013
Tm 0.4458 0.3094 0.0987

***

## Pr6DyTm8 (PBE)

Data for a geometry-optimized Pr6DyTm8 structure.

Results
* calculated formation energy: 0.123 eV/atom
* total energy: -4.480 eV/atom
* M_tot: 0.00 Bohr magnetons per cell
* calculated volume: 496 Å³/f.u.

Cell lengths 8.7318, 8.7318, 8.7318 Å; angles 62.43, 62.43, 62.43 degrees
Element x y z (fractional)
Pr 0.9007 0.4627 0.7729
Pr 0.2271 0.0993 0.5373
Pr 0.5373 0.2271 0.0993
Pr 0.4627 0.7729 0.9007
Pr 0.7729 0.9007 0.4627
Pr 0.0993 0.5373 0.2271
Dy 0.0000 0.0000 0.0000
Tm 0.1126 0.7127 0.7538
Tm 0.2462 0.8874 0.2873
Tm 0.2873 0.2462 0.8874
Tm 0.5767 0.5767 0.5767
Tm 0.4233 0.4233 0.4233
Tm 0.7127 0.7538 0.1126
Tm 0.7538 0.1126 0.7127
Tm 0.8874 0.2873 0.2462

***

## Pr3DyTm5 (PBE)

Data for a geometry-optimized Pr3DyTm5 structure.

Results
* calculated formation energy: 0.535 eV/atom
* total energy: -4.054 eV/atom
* M_tot: 0.00 Bohr magnetons per cell
* calculated volume: 329 Å³/f.u.

Cell lengths 9.5290, 9.5290, 11.6919 Å; angles 52.08, 52.08, 71.54 degrees
Element x y z (fractional)
Pr 0.7052 0.7052 0.8055
Pr 0.6602 0.6602 0.3698
Pr 0.0000 0.0000 0.0000
Pr 0.0000 0.0000 0.5000
Pr 0.2948 0.2948 0.1945
Pr 0.3398 0.3398 0.6302
Dy 0.1470 0.1470 0.6054
Dy 0.8530 0.8530 0.3946
Tm 0.8425 0.3456 0.2428
Tm 0.2600 0.7400 0.0000
Tm 0.8094 0.8094 0.9711
Tm 0.4882 0.4882 0.2229
Tm 0.5118 0.5118 0.7771
Tm 0.1906 0.1906 0.0289
Tm 0.3456 0.8425 0.2428
Tm 0.7400 0.2600 0.0000
Tm 0.1575 0.6544 0.7572
Tm 0.6544 0.1575 0.7572

***

## Pr7Dy12Tm (PBE)

Data for a geometry-optimized Pr7Dy12Tm structure.

Results
* calculated formation energy: 0.634 eV/atom
* total energy: -4.024 eV/atom
* M_tot: 0.00 Bohr magnetons per cell
* calculated volume: 734 Å³/f.u.
* energy above the most stable polymorph in this dataset: 406.7 meV/atom

Cell lengths 9.8404, 9.8404, 9.8404 Å; angles 109.47, 109.47, 109.47 degrees
Element x y z (fractional)
Pr 0.5000 0.5000 0.0000
Pr 0.0000 0.5000 0.5000
Pr 0.5000 0.0000 0.5000
Pr 0.5000 0.5000 0.5000
Pr 0.0000 0.0000 0.5000
Pr 0.5000 0.0000 0.0000
Pr 0.0000 0.5000 0.0000
Dy 0.5110 0.7555 0.7555
Dy 0.9999 0.7555 0.2445
Dy 0.4890 0.2445 0.2445
Dy 0.0001 0.2445 0.7555
Dy 0.7555 0.0001 0.2445
Dy 0.7555 0.5110 0.7555
Dy 0.2445 0.9999 0.7555
Dy 0.2445 0.4890 0.2445
Dy 0.7555 0.7555 0.5110
Dy 0.2445 0.2445 0.4890
Dy 0.7555 0.2445 0.9999
Dy 0.2445 0.7555 0.0001
Tm 0.0000 0.0000 0.0000

***

## Pr5Dy2Tm12 (PBE)

Data for a geometry-optimized Pr5Dy2Tm12 structure.

Results
* calculated formation energy: 0.069 eV/atom
* total energy: -4.497 eV/atom
* M_tot: 0.00 Bohr magnetons per cell
* calculated volume: 609 Å³/f.u.
* energy above the most stable polymorph in this dataset: 0.0 meV/atom

Cell lengths 6.7333, 11.7685, 12.5496 Å; angles 138.58, 111.72, 77.06 degrees
Element x y z (fractional)
Pr 0.2667 0.4947 0.6037
Pr 0.1720 0.6643 0.1705
Pr 0.0000 0.0000 0.5000
Pr 0.8280 0.3357 0.8295
Pr 0.7333 0.5053 0.3963
Dy 0.6129 0.8527 0.8180
Dy 0.3871 0.1473 0.1820
Tm 0.9352 0.1237 0.2498
Tm 0.1085 0.7717 0.9618
Tm 0.6530 0.7529 0.0298
Tm 0.2101 0.5941 0.3950
Tm 0.6879 0.6154 0.2007
Tm 0.5636 0.9481 0.6042
Tm 0.4364 0.0519 0.3958
Tm 0.7899 0.4059 0.6050
Tm 0.3121 0.3846 0.7993
Tm 0.8915 0.2283 0.0382
Tm 0.3470 0.2471 0.9702
Tm 0.0648 0.8763 0.7502

***

## Pr5DyTm5 (PBE)

Data for a geometry-optimized Pr5DyTm5 structure.

Results
* calculated formation energy: 0.264 eV/atom
* total energy: -4.360 eV/atom
* M_tot: 0.44 Bohr magnetons per cell
* calculated volume: 372 Å³/f.u.

Cell lengths 5.9762, 9.9450, 7.0720 Å; angles 110.68, 90.00, 107.49 degrees
Last column: magnetic moment on the atom in μB.
Element x y z (fractional)
Pr 0.8239 0.6478 0.0674  0.00
Pr 0.8240 0.6480 0.5793  0.00
Pr 0.5000 0.0000 0.0000  0.13
Pr 0.1760 0.3520 0.4207  0.00
Pr 0.1761 0.3522 0.9326  0.00
Dy 0.0000 0.0000 0.0000  0.16
Tm 0.6685 0.3369 0.1696  0.02
Tm 0.6206 0.2411 0.6220  0.00
Tm 0.0000 0.0000 0.5000  0.01
Tm 0.3794 0.7589 0.3780  0.00
Tm 0.3315 0.6631 0.8304  0.02

***

## Pr3DyTm (PBE)

Data for a geometry-optimized Pr3DyTm structure.

Results
* calculated formation energy: 0.289 eV/atom
* total energy: -4.393 eV/atom
* M_tot: 0.00 Bohr magnetons per cell
* calculated volume: 179 Å³/f.u.
* energy above the most stable polymorph in this dataset: 271.6 meV/atom

Cell lengths 6.4557, 8.6950, 8.6950 Å; angles 47.06, 90.00, 90.00 degrees
Element x y z (fractional)
Pr 0.2500 0.3218 0.3218
Pr 0.7500 0.6781 0.6781
Pr 0.2094 0.8970 0.3917
Pr 0.7906 0.6082 0.1030
Pr 0.7094 0.1030 0.6082
Pr 0.2906 0.3917 0.8970
Dy 0.2500 0.9189 0.9189
Dy 0.7500 0.0811 0.0811
Tm 0.0000 0.4267 0.5733
Tm 0.5000 0.5733 0.4267